[1]
## GaGeI (PBE-GGA)

Data for a relaxed GaGeI crystal.

Output
E above lowest polymorph: 0.001 eV/atom
VASP energy: -3.31 eV/atom
space group: P2_1/m (11)
uncorrected formation energy: -5.7 kcal/mol of atoms

Cell and atoms, written as CIF:
```
data_GaGeI
_chemical_formula_sum 'Ga2 Ge2 I2'
_symmetry_space_group_name_H-M 'P 1'
_symmetry_Int_Tables_number 1
_cell_length_a 4.3505
_cell_length_b 4.0842
_cell_length_c 11.3675
_cell_angle_alpha 90.00
_cell_angle_beta 100.82
_cell_angle_gamma 90.00
loop_
_symmetry_equiv_pos_as_xyz
'x,y,z'
loop_
_atom_site_label
_atom_site_type_symbol
_atom_site_fract_x
_atom_site_fract_y
_atom_site_fract_z
_atom_site_occupancy
Ga1 Ga 0.4149 0.7500 0.8264 1
Ga2 Ga 0.5851 0.2500 0.1736 1
I1 I 0.6668 0.7500 0.3400 1
I2 I 0.3332 0.2500 0.6600 1
Ge1 Ge 0.9680 0.7500 0.9346 1
Ge2 Ge 0.0320 0.2500 0.0654 1
```

***

[2]
## RbSbN2 (PBE-GGA)

Data for a relaxed RbSbN2 crystal.

Output
VASP energy: -4.86 eV/atom
space group: R-3m (166)
uncorrected formation energy: 13.3 kcal/mol of atoms

Cell and atoms, written as CIF:
```
data_RbSbN2
_chemical_formula_sum 'Rb1 Sb1 N2'
_symmetry_space_group_name_H-M 'P 1'
_symmetry_Int_Tables_number 1
_cell_length_a 7.7800
_cell_length_b 7.7800
_cell_length_c 7.7800
_cell_angle_alpha 24.58
_cell_angle_beta 24.58
_cell_angle_gamma 24.58
loop_
_symmetry_equiv_pos_as_xyz
'x,y,z'
loop_
_atom_site_label
_atom_site_type_symbol
_atom_site_fract_x
_atom_site_fract_y
_atom_site_fract_z
_atom_site_occupancy
Sb1 Sb 0.5000 0.5000 0.5000 1
N1 N 0.1185 0.1185 0.1185 1
N2 N 0.8815 0.8815 0.8815 1
Rb1 Rb 0.0000 0.0000 0.0000 1
```

***

[3]
## La2ZrTe5 (PBE-GGA)

Data for a relaxed La2ZrTe5 crystal.

Output
VASP energy: -5.43 eV/atom
space group: Cmcm (63)
uncorrected formation energy: -27.0 kcal/mol of atoms

Cell and atoms, written as CIF:
```
data_La2ZrTe5
_chemical_formula_sum 'La4 Zr2 Te10'
_symmetry_space_group_name_H-M 'P 1'
_symmetry_Int_Tables_number 1
_cell_length_a 6.1260
_cell_length_b 8.2394
_cell_length_c 14.5794
_cell_angle_alpha 90.00
_cell_angle_beta 90.00
_cell_angle_gamma 111.82
loop_
_symmetry_equiv_pos_as_xyz
'x,y,z'
loop_
_atom_site_label
_atom_site_type_symbol
_atom_site_fract_x
_atom_site_fract_y
_atom_site_fract_z
_atom_site_occupancy
Te1 Te 0.0484 0.0969 0.3765 1
Te2 Te 0.3087 0.6173 0.4107 1
Te3 Te 0.3087 0.6173 0.0893 1
Te4 Te 0.9516 0.9031 0.8765 1
Te5 Te 0.0484 0.0969 0.1235 1
Te6 Te 0.2773 0.5547 0.7500 1
Te7 Te 0.6913 0.3827 0.9107 1
Te8 Te 0.7227 0.4453 0.2500 1
Te9 Te 0.6913 0.3827 0.5893 1
Te10 Te 0.9516 0.9031 0.6235 1
Zr1 Zr 0.8116 0.6233 0.7500 1
Zr2 Zr 0.1884 0.3767 0.2500 1
La1 La 0.1506 0.3011 0.5648 1
La2 La 0.8494 0.6989 0.4352 1
La3 La 0.8494 0.6989 0.0648 1
La4 La 0.1506 0.3011 0.9352 1
```

***

[4]
## Tl2RuPb (PBE-GGA)

Data for a relaxed Tl2RuPb crystal.

Output
E above lowest polymorph: 0.011 eV/atom
VASP energy: -4.12 eV/atom
space group: Amm2 (38)
DFT formation energy: 0.305 eV/atom

Cell and atoms, written as CIF:
```
data_Tl2RuPb
_chemical_formula_sum 'Tl2 Ru1 Pb1'
_symmetry_space_group_name_H-M 'P 1'
_symmetry_Int_Tables_number 1
_cell_length_a 3.2406
_cell_length_b 4.4571
_cell_length_c 7.6297
_cell_angle_alpha 73.06
_cell_angle_beta 90.00
_cell_angle_gamma 90.00
loop_
_symmetry_equiv_pos_as_xyz
'x,y,z'
loop_
_atom_site_label
_atom_site_type_symbol
_atom_site_fract_x
_atom_site_fract_y
_atom_site_fract_z
_atom_site_occupancy
Ru1 Ru 0.5000 0.9916 0.6412 1
Tl1 Tl 0.0000 0.8214 0.9828 1
Tl2 Tl 0.5000 0.1845 0.2565 1
Pb1 Pb 0.0000 0.5025 0.6195 1
```

***

[5]
## TlZnInAu (PBE-GGA)

Data for a relaxed TlZnInAu crystal.

Output
VASP energy: -2.47 eV/atom
space group: Cm (8)
DFT formation energy: -0.056 eV/atom

Cell and atoms, written as CIF:
```
data_TlZnInAu
_chemical_formula_sum 'Tl1 Zn1 In1 Au1'
_symmetry_space_group_name_H-M 'P 1'
_symmetry_Int_Tables_number 1
_cell_length_a 4.5339
_cell_length_b 4.5339
_cell_length_c 6.0331
_cell_angle_alpha 90.95
_cell_angle_beta 110.88
_cell_angle_gamma 120.25
loop_
_symmetry_equiv_pos_as_xyz
'x,y,z'
loop_
_atom_site_label
_atom_site_type_symbol
_atom_site_fract_x
_atom_site_fract_y
_atom_site_fract_z
_atom_site_occupancy
Au1 Au 0.7994 0.2647 0.0642 1
Tl1 Tl 0.3977 0.0622 0.4599 1
In1 In 0.9738 0.8512 0.8250 1
Zn1 Zn 0.5211 0.6264 0.1475 1
```

***

[6]
## Gd2RhBr (PBE-GGA)

Data for a relaxed Gd2RhBr crystal.

Output
E above lowest polymorph: 0.000 eV/atom
VASP energy: -10.39 eV/atom
space group: R-3m (166)
uncorrected formation energy: -25.3 kcal/mol of atoms

Cell and atoms, written as CIF:
```
data_Gd2RhBr
_chemical_formula_sum 'Gd2 Rh1 Br1'
_symmetry_space_group_name_H-M 'P 1'
_symmetry_Int_Tables_number 1
_cell_length_a 4.0280
_cell_length_b 4.0280
_cell_length_c 8.0422
_cell_angle_alpha 75.50
_cell_angle_beta 75.50
_cell_angle_gamma 60.00
loop_
_symmetry_equiv_pos_as_xyz
'x,y,z'
loop_
_atom_site_label
_atom_site_type_symbol
_atom_site_fract_x
_atom_site_fract_y
_atom_site_fract_z
_atom_site_occupancy
Rh1 Rh 0.0000 0.0000 0.0000 1
Gd1 Gd 0.2681 0.2681 0.1956 1
Gd2 Gd 0.7319 0.7319 0.8044 1
Br1 Br 0.5000 0.5000 0.5000 1
```